# Pm2NiAsO6

A relaxed Pm2NiAsO6 crystal (PBE+U, Alexandria via LeMat-Bulk).

Calculated values
The total energy comes out at -6.735 eV per atom. For the density of states at the Fermi level, the calculation gives 1.68 states/eV/f.u.

Cell lengths 5.4617, 5.4617, 4.3331 Å; angles 90.00, 90.00, 90.00 degrees
Closest atoms and distances in Å follow each position.
Atoms (fractional coordinates):
Pm (0.0000, 0.5000, 0.0000)  4 O 2.41
Pm (0.5000, 0.0000, 0.0000)  4 O 2.41
Ni (0.0000, 0.0000, 0.5908)  5 O 2.00-2.05
As (0.5000, 0.5000, 0.5805)  5 O 1.82-1.92
O (0.0000, 0.0000, 0.1176)  2 Ni 2.05-2.28
O (0.2558, 0.2558, 0.6656)  1 As 1.92, 1 Ni 2.00
O (0.2558, 0.7442, 0.6656)  1 As 1.92, 1 Ni 2.00
O (0.5000, 0.5000, 0.1615)  1 As 1.82
O (0.7442, 0.2558, 0.6656)  1 As 1.92, 1 Ni 2.00
O (0.7442, 0.7442, 0.6656)  1 As 1.92, 1 Ni 2.00